Record 1
10
Lattice="5.341 0.000 0.000 0.000 6.805 0.408 0.000 0.274 8.119" Properties=species:S:1:pos:R:3 comment="PBE-GGA InSbTeS2, optimized geometry" e_tot_ev_per_atom=-3.901 sg="P2_1/m (11)" crystal_system=monoclinic pbc="T T T"
Sb 4.006 1.700 4.822
Te 1.335 3.725 6.193
S 4.006 6.254 3.840
S 1.335 0.388 1.020
S 1.335 0.825 4.687
In 1.335 6.249 7.368
Sb 1.335 5.378 3.704
In 4.006 0.830 1.158
Te 4.006 3.354 2.334
S 4.006 6.691 7.506


Record 2
16
Lattice="-0.608 -3.573 -5.059 8.397 -1.522 0.066 -1.398 -7.476 5.449" Properties=species:S:1:pos:R:3 comment="PBE-GGA Tl2InSbS4, optimized geometry" e_tot_ev_per_atom=-3.879 sg="Pmn2_1 (31)" crystal_system=orthorhombic pbc="T T T"
Tl 2.368 -3.695 -1.109
S 6.266 -4.376 -4.397
In 0.203 -3.691 -5.013
In 6.593 -6.873 0.295
Sb 6.314 -2.892 -2.347
S 4.951 -7.986 1.779
S 0.526 -9.586 -0.386
S 6.595 -8.386 -1.782
Tl 1.554 -8.050 2.065
S 5.549 -4.790 -0.550
S 0.310 -1.540 -2.034
S 0.667 -5.384 0.816
Tl 3.897 -9.679 -0.894
S 1.327 -5.306 -3.506
Sb 0.503 -7.545 -2.190
Tl 4.480 -6.557 -3.169


Record 3
12
Lattice="4.018 0.000 0.000 0.000 8.836 0.234 0.000 -2.219 9.920" Properties=species:S:1:pos:R:3 comment="PBE-GGA TlInSbS3, optimized geometry" e_tot_ev_per_atom=-3.880 dos_at_fermi_per_ev_atom=0.378 sg="P2_1/m (11)" crystal_system=monoclinic pbc="T T T"
S 3.014 3.513 1.337
In 3.014 6.731 4.022
S 1.005 3.104 8.817
S 3.014 7.339 1.436
Sb 3.014 1.267 8.637
Tl 3.014 5.617 8.308
In 1.005 -0.114 6.132
S 3.014 0.428 4.591
Tl 1.005 1.000 1.846
S 1.005 6.189 5.563
S 1.005 -0.722 8.718
Sb 1.005 5.350 1.517


Record 4
5
Lattice="5.464 0.000 0.000 0.000 4.696 0.000 0.000 0.000 5.464" Properties=species:S:1:pos:R:3 comment="PBE-GGA Zr2InSbS, optimized geometry" e_tot_ev_per_atom=-4.905 dos_at_fermi_per_ev_atom=0.589 sg="P4/mmm (123)" crystal_system=tetragonal pbc="T T T"
S 0.000 2.348 0.000
Zr 2.732 0.000 0.000
Zr 0.000 0.000 2.732
Sb 2.732 2.348 2.732
In 0.000 0.000 0.000


Record 5
20
Lattice="-1.488 3.118 -0.802 -5.186 -4.542 -8.040 -7.137 -1.155 8.748" Properties=species:S:1:pos:R:3 comment="PBE-GGA Sc6InS3, optimized geometry" e_tot_ev_per_atom=-6.496 dos_at_fermi_per_ev_atom=0.818 sg="P2_1/m (11)" crystal_system=monoclinic pbc="T T T"
S -6.157 -1.499 1.673
Sc -8.400 -3.528 -2.056
Sc -8.402 -0.799 0.715
Sc -6.486 -1.111 -4.051
Sc -7.325 -1.469 3.957
Sc -7.257 -0.641 7.051
In -7.629 -3.913 -4.981
Sc -10.508 -3.184 3.194
Sc -5.409 -1.780 -0.808
In -6.181 1.333 4.887
Sc -5.411 0.948 1.962
S -9.621 -0.788 3.022
Sc -6.553 -1.939 -7.144
S -4.189 -1.792 -3.116
S -11.477 -4.179 1.123
Sc -2.922 -0.316 0.271
Sc -10.889 -2.263 -0.364
Sc -3.302 0.604 -3.288
S -2.333 1.600 -1.216
S -7.653 -1.081 -1.766


Record 6
4
Lattice="2.202 0.000 7.904 -1.101 1.907 7.904 -1.101 -1.907 7.904" Properties=species:S:1:pos:R:3 comment="PBE-GGA ScInS2, optimized geometry" e_tot_ev_per_atom=-4.889 dos_at_fermi_per_ev_atom=0.932 sg="R-3m (166)" crystal_system=trigonal pbc="T T T"
S 0.000 0.000 2.477
In 0.000 0.000 11.855
S 0.000 0.000 21.234
Sc 0.000 0.000 0.000


Record 7
10
Lattice="0.372 -6.499 0.406 5.650 -3.025 -1.210 3.462 -2.736 5.428" Properties=species:S:1:pos:R:3 comment="PBE-GGA Sc3InS6, optimized geometry" e_tot_ev_per_atom=-6.173 dos_at_fermi_per_ev_atom=0.000 polymorph_energy_ev_per_atom=0.0000 sg="R3 (146)" crystal_system=trigonal pbc="T T T"
S 4.311 -8.443 1.098
In 6.659 -9.332 1.693
S 7.017 -7.168 3.370
S 6.277 -5.237 0.349
Sc 2.801 -2.935 2.842
Sc 5.409 -5.929 4.925
S 3.224 -7.121 4.334
S 2.563 -5.035 1.282
S 5.098 -3.765 3.597
Sc 4.056 -6.337 -0.371


Record 8
8
Lattice="7.082 0.000 0.000 0.000 7.082 0.000 3.541 3.541 4.660" Properties=species:S:1:pos:R:3 comment="PBE-GGA ScInS2, optimized geometry" e_tot_ev_per_atom=-5.430 dos_at_fermi_per_ev_atom=0.000 sg="I-42d (122)" crystal_system=tetragonal pbc="T T T"
S 8.852 8.312 3.495
Sc 3.541 3.541 0.000
S 5.311 5.852 3.495
In 7.082 3.541 2.330
Sc 3.541 7.082 2.330
S 2.311 5.311 1.165
S 4.771 1.770 1.165
In 0.000 0.000 0.000


no.,formation energy (no corrections) (eV/atom)
1,-0.249
2,-0.366
3,-0.278
4,0.712
5,-1.185
6,-0.557
7,-1.523
8,-1.099